[1]
# La2CeY3

A geometry-optimized La2CeY3 structure (PBE, Alexandria via LeMat-Bulk).

- E: -5.6959 eV/atom
- DFT formation energy: 0.17 eV per atom

Cell: 6.9943 9.1219 7.0318 Å, 101.09 90.00 112.54°
With the nearest neighbours (Å) after each atom.
Sites, in units of the cell vectors:
Y 0.8375 0.6711 0.9171  4 La 3.51-3.64, 4 Y 3.52-3.57, 2 Ce 3.67-3.69
Ce 0.7480 0.0000 0.2500  3 Y 3.28-3.52, 4 La 3.39-3.42
La 0.3603 0.7152 0.9299  2 Ce 3.39-3.42, 6 Y 3.51-3.64, 2 La 3.52
Y 0.1625 0.3289 0.0829  4 La 3.51-3.64, 4 Y 3.52-3.57, 2 Ce 3.67-3.69
La 0.6451 0.2848 0.5701  2 Ce 3.39-3.42, 6 Y 3.51-3.64, 2 La 3.52
La 0.3549 0.7152 0.4299  2 Ce 3.39-3.42, 6 Y 3.51-3.64, 2 La 3.52
Y 0.2164 0.0000 0.2500  3 Ce 3.28-3.52, 4 La 3.53-3.55, 4 Y 3.56-3.57
Y 0.7836 0.0000 0.7500  3 Ce 3.28-3.52, 4 La 3.53-3.55, 4 Y 3.56-3.57
La 0.6397 0.2848 0.0701  2 Ce 3.39-3.42, 6 Y 3.51-3.64, 2 La 3.52
Ce 0.2520 0.0000 0.7500  3 Y 3.28-3.52, 4 La 3.39-3.42
Y 0.1664 0.3289 0.5829  4 La 3.51-3.64, 4 Y 3.52-3.57, 2 Ce 3.67-3.69
Y 0.8336 0.6711 0.4171  4 La 3.51-3.64, 4 Y 3.52-3.57, 2 Ce 3.67-3.69


[2]
# La6CeY12

A geometry-optimized La6CeY12 structure (PBE, Alexandria via LeMat-Bulk).

- E: -5.7398 eV/atom
- DFT formation energy: 0.21 eV per atom

Cell: 8.8720 8.8720 8.8720 Å, 99.26 99.26 99.26°
With the nearest neighbours (Å) after each atom.
Sites, in units of the cell vectors:
La 0.9036 0.9036 0.3411  1 La 3.12, 1 Ce 3.47
La 0.0964 0.0964 0.6589  1 La 3.12, 1 Ce 3.47
Y 0.3508 0.0784 0.3508  6 Y 3.41-3.68, 2 La 3.81
Y 0.6492 0.6492 0.9216  6 Y 3.41-3.68, 2 La 3.81
Y 0.5000 0.2457 0.7543  6 Y 3.41-3.59, 4 La 3.53-3.67
Y 0.0784 0.3508 0.3508  6 Y 3.41-3.68, 2 La 3.81
La 0.6589 0.0964 0.0964  1 La 3.12, 1 Ce 3.47
Y 0.2457 0.5000 0.7543  6 Y 3.41-3.59, 4 La 3.53-3.67
Y 0.2457 0.7543 0.5000  6 Y 3.41-3.59, 4 La 3.53-3.67
Y 0.5000 0.7543 0.2457  6 Y 3.41-3.59, 4 La 3.53-3.67
Y 0.3508 0.3508 0.0784  6 Y 3.41-3.68, 2 La 3.81
La 0.0964 0.6589 0.0964  1 La 3.12, 1 Ce 3.47
Y 0.7543 0.2457 0.5000  6 Y 3.41-3.59, 4 La 3.53-3.67
La 0.9036 0.3411 0.9036  1 La 3.12, 1 Ce 3.47
Ce 0.0000 0.0000 0.0000  6 La 3.47
La 0.3411 0.9036 0.9036  1 La 3.12, 1 Ce 3.47
Y 0.9216 0.6492 0.6492  6 Y 3.41-3.68, 2 La 3.81
Y 0.6492 0.9216 0.6492  6 Y 3.41-3.68, 2 La 3.81
Y 0.7543 0.5000 0.2457  6 Y 3.41-3.59, 4 La 3.53-3.67


[3]
# LaCe2Y

A geometry-optimized LaCe2Y structure (PBE, Alexandria via LeMat-Bulk).

- E: -5.6999 eV/atom
- DFT formation energy: 0.11 eV per atom
- Excess energy over the best structure of this formula in the dataset: 0.0 meV/atom

Cell: 3.5221 3.5221 11.8985 Å, 81.49 81.49 60.00°
With the nearest neighbours (Å) after each atom.
Sites, in units of the cell vectors:
La 0.4983 0.4983 0.5051  6 La 3.52, 6 Ce 3.54-3.66
Y 0.6679 0.6679 0.9964  6 Ce 3.51-3.56, 6 Y 3.52
Ce 0.2514 0.2514 0.2459  6 Ce 3.52, 3 Y 3.56, 3 La 3.66
Ce 0.0825 0.0825 0.7526  3 Y 3.51, 6 Ce 3.52, 3 La 3.54


[4]
# La4CeY8

A geometry-optimized La4CeY8 structure (PBE, Alexandria via LeMat-Bulk).

- E: -5.4100 eV/atom
- DFT formation energy: 0.54 eV per atom

Cell: 7.8797 7.8797 7.8797 Å, 90.18 90.18 90.18°
With the nearest neighbours (Å) after each atom.
Sites, in units of the cell vectors:
La 0.5000 0.0000 0.5000  8 Y 3.45
Y 0.7576 0.7576 0.7576  4 La 3.30-3.45, 1 Ce 3.51
Y 0.7583 0.2436 0.7583  4 La 3.31-3.45, 1 Ce 3.52
Y 0.2417 0.7564 0.2417  4 La 3.31-3.45, 1 Ce 3.52
Ce 0.5000 0.5000 0.5000  8 Y 3.51-3.52
La 0.5000 0.5000 0.0000  8 Y 3.45
Y 0.7583 0.7583 0.2436  4 La 3.31-3.45, 1 Ce 3.52
Y 0.7564 0.2417 0.2417  4 La 3.31-3.45, 1 Ce 3.52
Y 0.2424 0.2424 0.2424  4 La 3.30-3.45, 1 Ce 3.51
La 0.0000 0.0000 0.0000  8 Y 3.30-3.31
Y 0.2417 0.2417 0.7564  4 La 3.31-3.45, 1 Ce 3.52
La 0.0000 0.5000 0.5000  8 Y 3.45
Y 0.2436 0.7583 0.7583  4 La 3.31-3.45, 1 Ce 3.52


| no. | spin magnetization (Bohr magnetons per cell) |
| --- | --- |
| 1 | 1.18 |
| 2 | 0.19 |
| 3 | 1.30 |
| 4 | 2.67 |